(1)
# LaHgS3

A relaxed LaHgS3 crystal (PBE, Alexandria). Values from VASP.

Quantum ESPRESSO input file:
```
&SYSTEM
  ibrav = 0, nat = 5, ntyp = 3
/
ATOMIC_SPECIES
S 32.06 S.upf
Hg 200.59 Hg.upf
La 138.91 La.upf
ATOMIC_POSITIONS angstrom
S -0.550 -2.026 1.318
S 1.983 0.395 1.434
S -1.382 1.373 1.533
Hg 0.000 0.000 0.000
La 0.051 -0.259 4.286
CELL_PARAMETERS angstrom
-2.765 2.746 3.067
-1.100 -4.053 2.637
3.967 0.789 2.869
```

space-group type: No. 221
raw total energy: -4.054 eV per atom
uncorrected formation energy: -532.1 meV/atom
energy above the most stable polymorph in this dataset: 0 meV per atom

---

(2)
# PmGeBi2

A relaxed PmGeBi2 crystal (PBE, Alexandria). Values from VASP.

Quantum ESPRESSO input file:
```
&SYSTEM
  ibrav = 0, nat = 4, ntyp = 3
/
ATOMIC_SPECIES
Ge 72.64 Ge.upf
Bi 208.98 Bi.upf
Pm 145.00 Pm.upf
ATOMIC_POSITIONS angstrom
Ge -1.588 -0.569 1.749
Bi 0.566 2.014 1.169
Bi 1.723 -1.171 1.184
Pm 0.701 0.274 4.101
CELL_PARAMETERS angstrom
-3.176 -1.138 3.498
3.446 -2.342 2.367
1.132 4.028 2.338
```

space-group type: No. 123
raw total energy: -4.631 eV per atom
ΔH_f (0 K): -348 meV per atom
energy above the most stable polymorph in this dataset: 0 meV per atom

---

(3)
# HgIrW2

A relaxed HgIrW2 crystal (PBE, Alexandria). Values from VASP.

Quantum ESPRESSO input file:
```
&SYSTEM
  ibrav = 0, nat = 4, ntyp = 3
/
ATOMIC_SPECIES
Hg 200.59 Hg.upf
Ir 192.22 Ir.upf
W 183.84 W.upf
ATOMIC_POSITIONS angstrom
Hg 4.560 2.632 1.861
Ir 2.280 1.316 0.931
W 0.000 0.000 0.000
W 6.839 3.949 2.792
CELL_PARAMETERS angstrom
4.560 0.000 0.000
2.280 3.949 0.000
2.280 1.316 3.723
```

space-group type: No. 216
raw total energy: -8.147 eV per atom
ΔH_f (0 K): 620 meV per atom

---

(4)
# BaSmSb2

A relaxed BaSmSb2 crystal (PBE, Alexandria). Values from VASP.

Quantum ESPRESSO input file:
```
&SYSTEM
  ibrav = 0, nat = 4, ntyp = 3
/
ATOMIC_SPECIES
Ba 137.33 Ba.upf
Sm 150.36 Sm.upf
Sb 121.76 Sb.upf
ATOMIC_POSITIONS angstrom
Ba 4.556 2.630 4.247
Sm 6.834 3.946 8.310
Sb 2.278 1.315 6.552
Sb 2.278 1.315 1.801
CELL_PARAMETERS angstrom
4.556 0.000 0.000
2.278 3.946 0.000
2.278 1.315 8.364
```

space-group type: No. 160
raw total energy: -4.639 eV per atom
uncorrected formation energy: -917.8 meV/atom
energy above the most stable polymorph in this dataset: 41 meV per atom

---

Please write out number 1 again, unchanged.
# LaHgS3

A relaxed LaHgS3 crystal (PBE, Alexandria). Values from VASP.

Quantum ESPRESSO input file:
```
&SYSTEM
  ibrav = 0, nat = 5, ntyp = 3
/
ATOMIC_SPECIES
S 32.06 S.upf
Hg 200.59 Hg.upf
La 138.91 La.upf
ATOMIC_POSITIONS angstrom
S -0.550 -2.026 1.318
S 1.983 0.395 1.434
S -1.382 1.373 1.533
Hg 0.000 0.000 0.000
La 0.051 -0.259 4.286
CELL_PARAMETERS angstrom
-2.765 2.746 3.067
-1.100 -4.053 2.637
3.967 0.789 2.869
```

space-group type: No. 221
raw total energy: -4.054 eV per atom
uncorrected formation energy: -532.1 meV/atom
energy above the most stable polymorph in this dataset: 0 meV per atom

---

Q: The highest raw total energy belongs to which entry?
A: LaHgS3